## K4Pm3SnO8 (GGA-PBE)

Data for crystalline K4Pm3SnO8 at its relaxed geometry.

As for the space group: R-3m (166). The value obtained for the total energy is -99.19 eV for the cell shown.

extended XYZ file:
```
16
Lattice="3.578 2.066 6.301 -3.578 2.066 6.301 0.000 -4.132 6.301" Properties=species:S:1:pos:R:3 pbc="T T T"
K 0.000 0.000 0.000
K -1.789 -1.033 6.301
K -1.789 1.033 12.602
K 0.000 2.066 6.301
Pm -3.578 0.000 9.451
Pm -1.789 1.033 3.150
Pm 1.789 1.033 3.150
Sn 0.000 0.000 9.451
O 0.000 0.000 4.344
O -1.763 -1.018 10.651
O 0.000 -2.036 8.252
O -1.763 1.018 8.252
O 1.763 -1.018 10.651
O 0.000 2.036 10.651
O 1.763 1.018 8.252
O 0.000 0.000 14.559
```